SrLa2Rh2, optimized geometry, DFT PBE; calculated total energy = -5.60 eV/atom; ΔE to the lowest computed polymorph = 223 meV per atom; energy of formation = -0.353 eV/atom; SG = I4/mmm, No. 139
1.0
-2.618 2.618 5.702
2.618 -2.618 5.702
2.618 2.618 -5.702
Sr La Rh
1 2 2
Direct
0.000 0.000 0.000
0.327 0.327 0.000
0.673 0.673 0.000
0.250 0.750 0.500
0.750 0.250 0.500